Computed, not measured: NiAgMo2O8 after structural relaxation at the GGA+U level of DFT.

Results
The total energy comes out at -71.0 eV per cell.

Unit cell a=5.9804 b=5.9804 c=5.9804 alpha=109.32 beta=109.32 gamma=109.78
Closest atoms and distances in Å follow each position.
Element x y z (fractional)
O  0.7889  0.0872  0.7018  1 Mo 1.79
O  0.8655  0.6507  0.2149  1 Mo 1.81
O  0.9128  0.6146  0.7018  1 Mo 1.79
O  0.9128  0.2111  0.2982  1 Mo 1.79
O  0.4358  0.6507  0.7851  1 Mo 1.81
Mo  0.7500  0.2500  0.5000  4 O 1.79
O  0.3493  0.1345  0.7851  1 Mo 1.81
O  0.3493  0.5642  0.2149  1 Mo 1.81
O  0.3854  0.0872  0.2982  1 Mo 1.79
Mo  0.5000  0.5000  0.0000  4 O 1.81
Ni  0.2500  0.7500  0.5000  4 O 2.09
Ag  0.0000  0.0000  0.0000  4 O 2.15